12
Lattice="6.293 0.000 0.000 0.000 6.293 0.000 0.000 0.000 6.293" Properties=species:S:1:pos:R:3 comment="ScAlP PBE optimized geometry" formation_enthalpy_0k_kj_per_mol_atoms=-8.01 total_magnetization_mub_per_cell=0.00 total_energy_ev_per_cell=-62.93 pbc="T T T"
Sc 0.000 0.000 0.000
Sc 0.000 3.147 3.147
Sc 3.147 0.000 3.147
Sc 3.147 3.147 0.000
Al 1.573 1.573 1.573
Al 1.573 4.720 4.720
Al 4.720 1.573 4.720
Al 4.720 4.720 1.573
P 1.573 1.573 4.720
P 1.573 4.720 1.573
P 4.720 1.573 1.573
P 4.720 4.720 4.720

=====

10
Lattice="3.009 0.000 0.000 0.000 3.009 0.000 0.000 0.000 15.019" Properties=species:S:1:pos:R:3 comment="Al4NiIr5 PBE optimized geometry" formation_enthalpy_0k_kj_per_mol_atoms=-69.62 total_magnetization_mub_per_cell=1.32 total_energy_ev_per_cell=-72.27 pbc="T T T"
Al 0.000 0.000 1.527
Al 0.000 0.000 4.598
Al 0.000 0.000 10.421
Al 0.000 0.000 13.492
Ni 0.000 0.000 7.509
Ir 1.504 1.504 0.000
Ir 1.504 1.504 3.009
Ir 1.504 1.504 6.024
Ir 1.504 1.504 8.995
Ir 1.504 1.504 12.009

=====

8
Lattice="3.706 0.000 0.000 0.000 3.706 0.000 0.000 0.000 8.339" Properties=species:S:1:pos:R:3 comment="AlCoW2 PBE optimized geometry" formation_enthalpy_0k_kj_per_mol_atoms=-0.49 total_magnetization_mub_per_cell=0.00 total_energy_ev_per_cell=-73.55 pbc="T T T"
Al 0.000 0.000 0.000
Al 1.853 1.853 4.170
Co 0.000 0.000 4.170
Co 1.853 1.853 0.000
W 0.000 1.853 2.085
W 0.000 1.853 6.254
W 1.853 0.000 2.085
W 1.853 0.000 6.254

=====

5
Lattice="5.825 0.000 0.000 0.000 5.825 0.000 0.000 0.000 5.264" Properties=species:S:1:pos:R:3 comment="NaSr2InRh PBE optimized geometry" formation_enthalpy_0k_kj_per_mol_atoms=-24.04 total_magnetization_mub_per_cell=0.00 total_energy_ev_per_cell=-16.02 pbc="T T T"
Na 0.000 0.000 0.000
Sr 0.000 2.912 2.632
Sr 2.912 0.000 2.632
In 2.912 2.912 0.000
Rh 2.912 2.912 2.632

=====

14
Lattice="-5.027 5.027 5.030 5.027 -5.027 5.030 5.027 5.027 -5.030" Properties=species:S:1:pos:R:3 comment="K8Au5Br PBE optimized geometry" formation_energy_uncorrected_kj_per_mol_fu=-615 total_magnetization_mub_per_cell=0.00 total_energy_ev_per_cell=-33.22 pbc="T T T"
K 4.292 3.253 -3.011
K 4.276 1.770 0.536
K 3.257 -0.751 4.494
K 0.735 1.774 2.019
K 1.770 5.778 -0.536
K 1.774 -0.735 8.041
K 3.253 5.763 3.011
K 0.751 3.257 5.565
Au 1.268 2.512 -1.227
Au 7.542 1.268 1.227
Au 0.000 0.000 5.030
Au 3.759 2.515 3.803
Au -2.515 3.759 6.257
Br 0.000 5.027 2.515

=====

12
Lattice="7.782 0.000 0.000 0.000 4.500 0.000 -2.588 0.000 7.992" Properties=species:S:1:pos:R:3 comment="CaPdSe PBE optimized geometry" formation_energy_uncorrected_kj_per_mol_fu=-319 total_magnetization_mub_per_cell=0.00 total_energy_ev_per_cell=-55.94 pbc="T T T"
Ca 0.000 0.000 0.000
Ca 0.005 0.000 4.657
Ca 3.891 2.250 0.000
Ca 3.896 2.250 4.657
Pd 1.308 2.250 2.116
Pd 2.602 0.000 3.647
Pd 5.199 0.000 2.116
Pd 6.493 2.250 3.647
Se -1.290 2.250 6.189
Se 2.596 0.000 1.281
Se 2.601 0.000 6.189
Se 6.487 2.250 1.281

=====

12
Lattice="4.782 0.000 0.000 -2.391 4.141 0.000 0.000 0.000 11.733" Properties=species:S:1:pos:R:3 comment="Er3NiIr2 PBE optimized geometry" formation_enthalpy_0k_kj_per_mol_atoms=-73.95 total_magnetization_mub_per_cell=0.00 total_energy_ev_per_cell=-83.58 pbc="T T T"
Er 0.000 0.000 2.923
Er 0.000 0.000 8.810
Er 0.000 2.761 4.884
Er 0.000 2.761 10.760
Er 2.391 1.380 0.973
Er 2.391 1.380 6.849
Ni 0.000 2.761 1.988
Ni 2.391 1.380 9.745
Ir 0.000 0.000 0.000
Ir 0.000 0.000 5.867
Ir 0.000 2.761 7.860
Ir 2.391 1.380 3.873

=====

10
Lattice="6.708 0.000 0.000 0.000 6.708 0.000 0.000 0.000 2.650" Properties=species:S:1:pos:R:3 comment="Cr2Ni2Os PBE optimized geometry" formation_enthalpy_0k_kj_per_mol_atoms=19.55 total_magnetization_mub_per_cell=1.75 total_energy_ev_per_cell=-82.05 pbc="T T T"
Cr 1.179 2.175 0.000
Cr 2.175 5.529 0.000
Cr 4.533 1.179 0.000
Cr 5.529 4.533 0.000
Ni 0.821 4.175 1.325
Ni 2.533 0.821 1.325
Ni 4.175 5.886 1.325
Ni 5.886 2.533 1.325
Os 0.000 0.000 1.325
Os 3.354 3.354 1.325